DFT (PBE) results for LiYUS3 after structural relaxation.

Geometry as POSCAR:
```
LiYUS3
1.0
-3.220 0.304 1.897
3.923 -1.583 6.910
0.463 8.337 -0.549
Li Y U S
2 2 2 6
Cartesian
-0.191 4.765 0.765
1.357 2.293 7.494
1.866 0.414 4.952
-0.700 6.643 3.306
-0.029 1.521 1.560
1.195 5.537 6.698
1.193 -0.050 7.589
-0.027 7.107 0.670
2.512 3.123 5.615
-1.346 3.934 2.644
-0.684 1.009 4.235
1.850 6.049 4.024
```

Calculated values
As for the crystal system: monoclinic. Its final energy is -6.8625 eV per atom. The uncorrected formation energy is -1521 meV per atom. As for the calculated density: 5.76 g/cm³. The value obtained for the density of states at the Fermi level is 13.7 states/eV per cell. Its space group is No. 11.

***

DFT (PBE) results for Li4U3ZnS8 after structural relaxation.

Geometry as POSCAR:
```
Li4U3ZnS8
1.0
-0.613 3.680 -6.627
-7.611 -0.338 0.516
4.051 3.037 5.676
Li U Zn S
4 3 1 8
Cartesian
-0.306 1.840 -3.314
1.719 3.358 -0.476
0.000 0.000 0.000
2.025 1.518 2.838
-4.112 1.671 -3.056
-2.086 3.189 -0.218
-1.780 1.349 3.096
-3.805 -0.169 0.258
-5.837 0.663 -1.205
-3.875 2.134 1.543
0.028 2.320 1.286
-6.153 2.561 -4.623
1.980 3.817 4.187
-4.201 4.058 -1.722
-0.298 4.245 -1.979
1.664 5.715 0.769
```

Calculated values
As for the crystal system: trigonal. Its final energy is -5.9845 eV per atom. The uncorrected formation energy is -1246 meV per atom. As for the calculated density: 5.65 g/cm³. The value obtained for the density of states at the Fermi level is 10.5 states/eV per cell. Its space group is No. 166.

***

DFT (PBE) results for Li3U3ZnS8 after structural relaxation.

Geometry as POSCAR:
```
Li3U3ZnS8
1.0
7.645 0.000 0.000
-3.822 6.619 -0.024
0.000 -4.392 6.243
Li U Zn S
3 3 1 8
Cartesian
0.000 0.000 0.000
-1.911 3.310 -0.012
1.911 3.310 -0.012
3.822 -2.196 3.121
1.911 1.114 3.109
-1.911 1.114 3.109
0.000 -2.196 3.121
0.000 2.211 1.489
3.822 0.017 4.730
3.822 2.287 1.602
0.000 -0.059 4.616
5.797 -1.135 1.614
-1.975 3.363 4.605
1.848 -1.135 1.614
1.975 3.363 4.605
```

Calculated values
As for the crystal system: trigonal. Its final energy is -6.1611 eV per atom. The uncorrected formation energy is -1234 meV per atom. As for the calculated density: 5.57 g/cm³. The value obtained for the density of states at the Fermi level is 9.7 states/eV per cell. Its space group is No. 166.

***

DFT (PBE) results for Li2Zr2US6 after structural relaxation.

Geometry as POSCAR:
```
Li2Zr2US6
1.0
6.452 -0.033 0.067
-3.218 5.592 0.067
-1.151 -1.979 6.213
Li Zr U S
2 2 1 6
Cartesian
4.826 0.913 0.067
-1.592 4.646 0.067
-0.552 2.717 3.174
2.634 0.863 3.174
-0.576 -0.990 3.106
1.541 2.648 4.750
-1.715 0.893 4.668
0.542 0.932 1.598
1.624 -1.049 4.668
3.798 2.687 1.679
0.459 4.630 1.679
```

Calculated values
As for the crystal system: monoclinic. Its final energy is -6.6565 eV per atom. The uncorrected formation energy is -1477 meV per atom. As for the calculated density: 4.62 g/cm³. The value obtained for the density of states at the Fermi level is 7.4 states/eV per cell. Its space group is No. 12.

***

DFT (PBE) results for LiZrUS4 after structural relaxation.

Geometry as POSCAR:
```
LiZrUS4
1.0
7.482 0.000 0.000
3.741 6.745 -0.034
3.741 2.023 6.435
Li Zr U S
2 2 2 8
Cartesian
7.482 4.394 0.728
7.482 4.374 5.673
5.612 1.011 3.218
1.871 1.011 3.218
0.000 0.000 0.000
3.741 4.384 3.201
11.223 6.669 4.658
7.482 6.684 4.669
7.482 2.084 1.732
3.741 2.099 1.743
5.570 5.653 1.648
9.394 5.653 1.648
5.570 3.115 4.753
9.394 3.115 4.753
```

Calculated values
As for the crystal system: orthorhombic. Its final energy is -6.9360 eV per atom. The uncorrected formation energy is -1470 meV per atom. As for the calculated density: 4.74 g/cm³. The value obtained for the density of states at the Fermi level is 9.7 states/eV per cell. Its space group is No. 74.

***

DFT (PBE) results for Li4Zr3US8 after structural relaxation.

Geometry as POSCAR:
```
Li4Zr3US8
1.0
7.309 0.000 0.000
0.000 7.596 0.197
-3.655 -3.650 5.171
Li Zr U S
4 3 1 8
Cartesian
3.655 0.000 0.000
1.827 -1.825 2.586
0.000 0.000 0.000
-1.827 -1.825 2.586
3.655 3.798 0.098
1.827 1.973 2.684
-1.827 1.973 2.684
0.000 3.798 0.098
-1.787 2.082 5.315
0.000 3.866 2.786
0.000 0.081 2.639
1.787 2.082 5.315
1.868 1.865 0.053
3.655 3.865 2.729
3.655 0.080 2.582
5.441 1.865 0.053
```

Calculated values
As for the crystal system: trigonal. Its final energy is -6.3381 eV per atom. The uncorrected formation energy is -1488 meV per atom. As for the calculated density: 4.52 g/cm³. The value obtained for the density of states at the Fermi level is 5.6 states/eV per cell. Its space group is No. 166.

***

DFT (PBE) results for Li3ZrU3S8 after structural relaxation.

Geometry as POSCAR:
```
Li3ZrU3S8
1.0
7.649 0.000 0.000
-3.825 6.624 -0.024
0.000 -4.394 6.287
Li Zr U S
3 1 3 8
Cartesian
0.000 0.000 0.000
-1.912 3.312 -0.012
1.912 3.312 -0.012
0.000 -2.197 3.143
3.825 -2.197 3.143
1.912 1.115 3.131
-1.912 1.115 3.131
0.000 2.213 1.492
3.825 0.017 4.770
3.825 2.300 1.582
0.000 -0.069 4.680
1.987 5.482 1.570
1.837 -3.252 4.692
-1.987 5.482 1.570
5.812 -3.252 4.692
```

Calculated values
As for the crystal system: trigonal. Its final energy is -6.8294 eV per atom. The uncorrected formation energy is -1418 meV per atom. As for the calculated density: 5.66 g/cm³. The value obtained for the density of states at the Fermi level is 12.0 states/eV per cell. Its space group is No. 166.

***

DFT (PBE) results for LiZr2US4 after structural relaxation.

Geometry as POSCAR:
```
LiZr2US4
1.0
-0.943 2.324 -2.740
-6.190 -1.838 0.572
1.042 5.045 3.920
Li Zr U S
1 2 1 4
Cartesian
-3.567 0.243 -1.084
0.049 3.684 0.590
-2.574 1.604 2.246
0.000 0.000 0.000
-1.824 1.957 -0.230
-4.267 3.574 1.982
-0.819 3.315 3.093
-4.330 -0.108 1.399
```

Calculated values
As for the crystal system: monoclinic. Its final energy is -7.3165 eV per atom. The uncorrected formation energy is -1466 meV per atom. As for the calculated density: 6.25 g/cm³. The value obtained for the density of states at the Fermi level is 9.0 states/eV per cell. Its space group is No. 10.

***

DFT (PBE) results for LiZrU2S4 after structural relaxation.

Geometry as POSCAR:
```
LiZrU2S4
1.0
3.754 0.000 0.000
0.000 6.648 0.159
0.000 -2.279 6.091
Li Zr U S
1 1 2 4
Cartesian
1.877 3.324 0.079
0.000 0.000 0.000
1.877 -1.140 3.045
0.000 2.184 3.125
1.877 1.131 1.469
1.877 3.238 4.781
0.000 -0.024 4.725
0.000 4.393 1.524
```

Calculated values
As for the crystal system: monoclinic. Its final energy is -7.5761 eV per atom. The uncorrected formation energy is -1383 meV per atom. As for the calculated density: 7.61 g/cm³. The value obtained for the density of states at the Fermi level is 13.9 states/eV per cell. Its space group is No. 10.

***

DFT (PBE) results for Li3Zr3US8 after structural relaxation.

Geometry as POSCAR:
```
Li3Zr3US8
1.0
-3.328 -0.274 6.539
0.533 -6.065 -4.106
6.246 2.764 3.295
Li Zr U S
3 3 1 8
Cartesian
0.000 0.000 0.000
0.266 -3.032 -2.053
-1.398 -3.169 1.217
1.459 1.245 4.917
1.725 -1.787 2.864
3.389 -1.650 -0.405
3.123 1.382 1.647
1.002 -2.411 0.409
2.448 -1.164 5.320
-0.653 -2.496 3.685
4.103 -1.078 2.043
-0.913 0.460 5.687
4.363 -4.035 0.042
0.710 0.594 2.499
2.740 -4.168 3.230
```

Calculated values
As for the crystal system: trigonal. Its final energy is -6.5340 eV per atom. The uncorrected formation energy is -1488 meV per atom. As for the calculated density: 4.46 g/cm³. The value obtained for the density of states at the Fermi level is 5.3 states/eV per cell. Its space group is No. 166.

***

DFT (PBE) results for LiZr2US6 after structural relaxation.

Geometry as POSCAR:
```
LiZr2US6
1.0
6.481 0.000 0.000
0.000 6.118 0.000
0.000 0.000 6.118
Li Zr U S
1 2 1 6
Cartesian
3.487 0.000 0.000
6.312 3.059 0.000
6.312 0.000 3.059
3.703 3.059 3.059
4.940 1.462 1.462
4.940 1.462 4.656
1.056 3.059 3.059
1.153 0.000 0.000
4.940 4.656 4.656
4.940 4.656 1.462
```

Calculated values
As for the crystal system: tetragonal. Its final energy is -6.4102 eV per atom. The uncorrected formation energy is -904 meV per atom. As for the calculated density: 4.24 g/cm³. The value obtained for the density of states at the Fermi level is 7.3 states/eV per cell. Its space group is No. 99.

***

DFT (PBE) results for LiVS2 after structural relaxation.

Geometry as POSCAR:
```
LiVS2
1.0
-4.277 2.360 -4.012
-3.613 -0.907 -5.106
-5.822 -0.367 -2.435
Li V S
1 1 2
Cartesian
0.000 0.000 0.000
-6.856 0.543 -5.776
-3.334 0.264 -2.809
-10.377 0.822 -8.744
```

Calculated values
As for the crystal system: trigonal. Its final energy is -5.8858 eV per atom. The uncorrected formation energy is -1064 meV per atom. As for the calculated density: 3.18 g/cm³. The value obtained for the density of states at the Fermi level is 4.6 states/eV per cell. Its space group is No. 166.

***

DFT (PBE) results for LiVS2 after structural relaxation.

Geometry as POSCAR:
```
LiVS2
1.0
5.170 -0.796 5.602
6.734 1.187 3.463
4.581 2.461 5.630
S V Li
2 1 1
Cartesian
14.799 2.561 13.192
1.686 0.292 1.503
8.243 1.427 7.348
0.000 0.000 0.000
```

Calculated values
As for the crystal system: trigonal. Its final energy is -5.6643 eV per atom. The uncorrected formation energy is -842 meV per atom. As for the calculated density: 2.88 g/cm³. The value obtained for the density of states at the Fermi level is 3.7 states/eV per cell. Its space group is No. 166.

***

DFT (PBE) results for Li2VS after structural relaxation.

Geometry as POSCAR:
```
Li2VS
1.0
-3.386 -3.835 -6.136
6.780 -4.048 -1.211
0.969 -5.588 -2.242
S V Li
2 2 4
Cartesian
1.697 -3.942 -3.673
4.723 -6.789 -3.563
0.000 0.000 0.000
-0.360 -6.683 -6.026
-0.692 -3.921 -3.940
3.722 -4.786 -2.691
2.670 -7.548 -4.556
3.026 -10.689 -7.990
```

Calculated values
As for the crystal system: tetragonal. Its final energy is -4.4535 eV per atom. The uncorrected formation energy is -185 meV per atom. As for the calculated density: 2.19 g/cm³. The value obtained for the density of states at the Fermi level is 7.4 states/eV per cell. Its space group is No. 122.

***

DFT (PBE) results for LiVS2 after structural relaxation.

Geometry as POSCAR:
```
LiVS2
1.0
3.480 0.000 0.000
-1.740 3.014 0.000
0.000 0.000 6.046
S Li V
2 1 1
Cartesian
1.740 1.005 4.655
0.000 2.009 1.390
0.000 0.000 3.023
0.000 0.000 0.000
```

Calculated values
As for the crystal system: trigonal. Its final energy is -5.9045 eV per atom. The uncorrected formation energy is -1083 meV per atom. As for the calculated density: 3.19 g/cm³. The value obtained for the density of states at the Fermi level is 4.4 states/eV per cell. Its space group is No. 164.

***

DFT (PBE) results for LiVS3 after structural relaxation.

Geometry as POSCAR:
```
LiVS3
1.0
4.609 0.000 0.000
0.000 4.609 0.000
0.000 0.000 4.609
S V Li
3 1 1
Cartesian
0.000 2.304 0.000
0.000 0.000 2.304
2.304 0.000 0.000
0.000 0.000 0.000
2.304 2.304 2.304
```

Calculated values
As for the crystal system: cubic. Its final energy is -5.1792 eV per atom. The uncorrected formation energy is -496 meV per atom. As for the calculated density: 2.61 g/cm³. The value obtained for the density of states at the Fermi level is 5.1 states/eV per cell. Its space group is No. 221.

***

DFT (PBE) results for LiVS3 after structural relaxation.

Geometry as POSCAR:
```
LiVS3
1.0
-4.600 -0.841 3.580
1.511 -5.103 -4.637
3.945 0.020 5.357
Li V S
2 2 6
Cartesian
2.065 -4.076 2.715
-1.208 -1.848 1.586
-1.269 -0.989 5.530
2.125 -4.935 -1.230
3.719 -2.277 2.777
-0.145 -5.317 -1.196
1.200 -1.278 1.854
-0.344 -4.646 2.446
1.002 -0.606 5.496
-2.863 -3.647 1.523
```

Calculated values
As for the crystal system: triclinic. Its final energy is -5.5370 eV per atom. The uncorrected formation energy is -854 meV per atom. As for the calculated density: 2.33 g/cm³. The value obtained for the density of states at the Fermi level is 1.4 states/eV per cell. Its space group is No. 2.

***

DFT (PBE) results for LiVS2 after structural relaxation.

Geometry as POSCAR:
```
LiVS2
1.0
-3.358 4.247 1.197
-3.400 -3.449 2.699
-0.657 1.270 6.492
S V Li
4 2 2
Cartesian
-2.783 2.661 2.742
-2.614 -1.428 3.425
-2.931 1.349 6.253
-6.502 1.553 8.354
0.000 0.000 0.000
-3.697 2.958 4.818
-3.379 0.399 1.948
-3.718 -0.890 5.569
```

Calculated values
As for the crystal system: tetragonal. Its final energy is -5.7808 eV per atom. The uncorrected formation energy is -959 meV per atom. As for the calculated density: 2.46 g/cm³. The value obtained for the density of states at the Fermi level is 3.2 states/eV per cell. Its space group is No. 122.

***

DFT (PBE) results for LiV2S after structural relaxation.

Geometry as POSCAR:
```
LiV2S
1.0
3.472 0.000 0.000
0.000 3.472 0.000
1.736 1.736 9.002
S V Li
2 4 2
Cartesian
0.000 0.000 0.000
3.472 1.736 4.501
2.695 0.868 2.250
0.777 2.604 2.250
2.604 2.513 6.751
4.340 4.431 6.751
1.736 1.736 0.000
1.736 3.472 4.501
```

Calculated values
As for the crystal system: tetragonal. Its final energy is -6.0434 eV per atom. The uncorrected formation energy is 26 meV per atom. As for the calculated density: 4.31 g/cm³. The value obtained for the density of states at the Fermi level is 7.6 states/eV per cell. Its space group is No. 122.

***

DFT (PBE) results for LiVS2 after structural relaxation.

Geometry as POSCAR:
```
LiVS2
1.0
-7.470 -0.909 -0.410
-6.093 -4.382 -0.682
-6.473 -2.776 2.681
S V Li
2 1 1
Cartesian
-18.044 -7.265 1.430
-1.991 -0.802 0.158
0.000 0.000 0.000
-10.018 -4.034 0.794
```

Calculated values
As for the crystal system: trigonal. Its final energy is -5.0049 eV per atom. The uncorrected formation energy is -183 meV per atom. As for the calculated density: 2.31 g/cm³. The value obtained for the density of states at the Fermi level is 3.2 states/eV per cell. Its space group is No. 166.